Entry from Alexandria: SbMoIO2 after structural relaxation (PBE with a Hubbard U).

Calculated values
crystal system: tetragonal
ΔE to the lowest computed polymorph: 0.177 eV per atom

Cell: 4.167 4.167 6.611 Å, 90.00 90.00 90.00°
Positions (direct):
Sb1 0.000 0.000 0.000
Mo1 0.500 0.500 0.500
I1 0.000 0.000 0.500
O1 0.000 0.500 0.000
O2 0.500 0.000 0.000